Tb9Nd11Sm4: relaxed, PBE-GGA.

a = 15.479 Å, b = 15.479 Å, c = 3.708 Å
α = 90.00°, β = 90.00°, γ = 112.94°
Fractional positions:
Tb 0.000 0.000 0.000
Tb 0.133 0.664 0.000
Tb 0.288 0.434 0.000
Tb 0.336 0.867 0.000
Tb 0.434 0.288 0.000
Tb 0.566 0.712 0.000
Tb 0.664 0.133 0.000
Tb 0.712 0.566 0.000
Tb 0.867 0.336 0.000
Nd 0.094 0.456 0.500
Nd 0.133 0.867 0.500
Nd 0.209 0.209 0.500
Nd 0.340 0.660 0.500
Nd 0.456 0.094 0.500
Nd 0.500 0.500 0.500
Nd 0.544 0.906 0.500
Nd 0.660 0.340 0.500
Nd 0.791 0.791 0.500
Nd 0.867 0.133 0.500
Nd 0.906 0.544 0.500
Sm 0.055 0.257 0.000
Sm 0.257 0.055 0.000
Sm 0.743 0.945 0.000
Sm 0.945 0.743 0.000

## Properties
- Formation energy from the elements: 0.059 eV per atom
- M_tot: 0.00 μB/f.u.
- Energy: -111.57 eV for the cell shown
- Symmetry: Cmmm